No. 1
Density functional theory data (PBE) for a geometry-optimized CaHf2IrSe structure.

Cell: 4.9968 4.9968 4.8023 Å, 90.00 90.00 90.00°
Positions (direct):
Ca (0.0000, 0.0000, 0.0000)
Hf (0.0000, 0.5000, 0.0000)
Hf (0.5000, 0.0000, 0.0000)
Ir (0.5000, 0.5000, 0.5000)
Se (0.0000, 0.0000, 0.5000)

Properties
space-group type = No. 123
uncorrected formation energy = 1781 meV/atom
total moment = 0.00 μB per cell

=====

No. 2
Density functional theory data (PBE) for a geometry-optimized CaHfTaIr2 structure.

Cell: 6.2515 6.2515 6.2515 Å, 138.12 138.12 60.71°
Positions (direct):
Ca (0.0000, 0.0000, 0.0000)
Hf (0.7500, 0.2500, 0.5000)
Ta (0.2500, 0.7500, 0.5000)
Ir (0.3789, 0.3789, 0.0000)
Ir (0.6211, 0.6211, 0.0000)

Properties
space-group type = No. 119
DFT total energy = -8.960 eV per atom
total moment = 0.00 μB per cell

=====

No. 3
Density functional theory data (PBE) for a geometry-optimized CaHfTiIr2 structure.

Cell: 6.3494 6.3494 6.3494 Å, 139.96 139.96 57.92°
Positions (direct):
Ca (0.0000, 0.0000, 0.0000)
Hf (0.7500, 0.2500, 0.5000)
Ti (0.2500, 0.7500, 0.5000)
Ir (0.3821, 0.3821, 0.0000)
Ir (0.6179, 0.6179, 0.0000)

Properties
space-group type = No. 119
DFT total energy = -8.242 eV per atom
total moment = 0.00 μB per cell